Here is a relaxed Ac4BiO10 crystal from the Alexandria database. Energies are from GGA-PBE.

Calculated values
Energy relative to the elements, uncorrected in eV per atom: -2.295
Symmetry: I4/m (87)

a = 7.1464 Å, b = 7.1464 Å, c = 7.1464 Å
α = 99.71°, β = 99.71°, γ = 131.51°
Atoms (fractional coordinates):
Ac 0.0990 0.6991 0.7981
Ac 0.3009 0.0990 0.3999
Ac 0.6991 0.9010 0.6001
Ac 0.9010 0.3009 0.2019
Bi 0.5000 0.5000 0.0000
O 0.0915 0.3688 0.9132
O 0.1782 0.0915 0.7227
O 0.2500 0.7500 0.5000
O 0.3688 0.4555 0.2773
O 0.4555 0.1782 0.0868
O 0.5445 0.8218 0.9132
O 0.6312 0.5445 0.7227
O 0.7500 0.2500 0.5000
O 0.8218 0.9085 0.2773
O 0.9085 0.6312 0.0868

=====

Here is a relaxed AcBiO crystal from the Alexandria database. Energies are from GGA-PBE.

Calculated values
Offset from the most stable computed form in meV/atom: 347
Energy relative to the elements, uncorrected in eV per atom: -1.829
Symmetry: P3m1 (156)

a = 4.0510 Å, b = 4.0510 Å, c = 6.3695 Å
α = 90.00°, β = 90.00°, γ = 120.00°
Atoms (fractional coordinates):
Ac 0.0000 0.0000 0.0000
Bi 0.3333 0.6667 0.5003
O 0.6667 0.3333 0.0008

=====

Here is a relaxed Ac4Bi3O2 crystal from the Alexandria database. Energies are from GGA-PBE.

Calculated values
Offset from the most stable computed form in meV/atom: 16
Energy relative to the elements, uncorrected in eV per atom: -1.786
Symmetry: C2/c (15)

a = 9.3431 Å, b = 9.3431 Å, c = 7.0844 Å
α = 95.16°, β = 95.16°, γ = 70.87°
Atoms (fractional coordinates):
Ac 0.0794 0.6769 0.9882
Ac 0.2362 0.3839 0.4142
Ac 0.3231 0.9206 0.5118
Ac 0.3839 0.2362 0.9142
Ac 0.6161 0.7638 0.0858
Ac 0.6769 0.0794 0.4882
Ac 0.7638 0.6161 0.5858
Ac 0.9206 0.3231 0.0118
Bi 0.0252 0.7616 0.4783
Bi 0.2384 0.9748 0.0217
Bi 0.4757 0.5243 0.7500
Bi 0.5243 0.4757 0.2500
Bi 0.7616 0.0252 0.9783
Bi 0.9748 0.2384 0.5217
O 0.1518 0.4075 0.0777
O 0.4075 0.1518 0.5777
O 0.5925 0.8482 0.4223
O 0.8482 0.5925 0.9223

=====

Here is a relaxed Ac2Bi2O7 crystal from the Alexandria database. Energies are from GGA-PBE.

Calculated values
Offset from the most stable computed form in meV/atom: 179
Energy relative to the elements, uncorrected in eV per atom: -1.972
Symmetry: Cmmm (65)

a = 5.6812 Å, b = 5.6812 Å, c = 5.6689 Å
α = 90.00°, β = 90.00°, γ = 95.40°
Atoms (fractional coordinates):
Ac 0.2474 0.2474 0.0000
Ac 0.7526 0.7526 0.0000
Bi 0.2710 0.7290 0.5000
Bi 0.7290 0.2710 0.5000
O 0.0000 0.0000 0.5000
O 0.0000 0.5000 0.2541
O 0.0000 0.5000 0.7459
O 0.5000 0.0000 0.2541
O 0.5000 0.0000 0.7459
O 0.5000 0.5000 0.2596
O 0.5000 0.5000 0.7404

=====

Here is a relaxed Ac3BiO3 crystal from the Alexandria database. Energies are from GGA-PBE.

Calculated values
Offset from the most stable computed form in meV/atom: 0
Energy relative to the elements, uncorrected in eV per atom: -2.593
Symmetry: R-3 (148)

a = 9.1586 Å, b = 9.1586 Å, c = 9.1586 Å
α = 47.52°, β = 47.52°, γ = 47.52°
Atoms (fractional coordinates):
Ac 0.0502 0.4002 0.7449
Ac 0.2551 0.9498 0.5998
Ac 0.4002 0.7449 0.0502
Ac 0.5998 0.2551 0.9498
Ac 0.7449 0.0503 0.4002
Ac 0.9498 0.5998 0.2551
Bi 0.1665 0.1665 0.1665
Bi 0.8335 0.8335 0.8335
O 0.0490 0.6992 0.3663
O 0.3008 0.6337 0.9510
O 0.3663 0.0490 0.6992
O 0.6337 0.9510 0.3008
O 0.6992 0.3663 0.0490
O 0.9510 0.3008 0.6337

=====

Here is a relaxed Ac2Bi2O crystal from the Alexandria database. Energies are from GGA-PBE.

Calculated values
Energy relative to the elements, uncorrected in eV per atom: -1.638
Symmetry: C2/m (12)

a = 7.5064 Å, b = 7.5064 Å, c = 12.4388 Å
α = 122.18°, β = 122.18°, γ = 35.28°
Atoms (fractional coordinates):
Ac 0.0183 0.0183 0.1909
Ac 0.1974 0.1974 0.5831
Ac 0.8026 0.8026 0.4169
Ac 0.9817 0.9817 0.8091
Bi 0.3696 0.3696 0.9305
Bi 0.4567 0.4567 0.3528
Bi 0.5433 0.5433 0.6472
Bi 0.6304 0.6304 0.0695
O 0.2044 0.2044 0.3897
O 0.7956 0.7956 0.6103

=====

Here is a relaxed AcBiO crystal from the Alexandria database. Energies are from GGA-PBE.

Calculated values
Offset from the most stable computed form in meV/atom: 228
Energy relative to the elements, uncorrected in eV per atom: -1.949
Symmetry: C2/m (12)

a = 6.6812 Å, b = 6.6812 Å, c = 8.9936 Å
α = 120.38°, β = 120.38°, γ = 37.45°
Atoms (fractional coordinates):
Ac 0.1747 0.1747 0.2953
Ac 0.8253 0.8253 0.7047
Bi 0.1629 0.1629 0.8720
Bi 0.8371 0.8371 0.1280
O 0.3370 0.3370 0.5995
O 0.6630 0.6630 0.4005

=====

Here is a relaxed Ac3BiO6 crystal from the Alexandria database. Energies are from GGA-PBE.

Calculated values
Energy relative to the elements, uncorrected in eV per atom: -2.809
Symmetry: R-3 (148)

a = 7.3713 Å, b = 7.3713 Å, c = 7.3713 Å
α = 92.18°, β = 92.18°, γ = 92.18°
Atoms (fractional coordinates):
Ac 0.0589 0.7532 0.5678
Ac 0.2468 0.4322 0.9411
Ac 0.4322 0.9411 0.2468
Ac 0.5678 0.0589 0.7532
Ac 0.7532 0.5678 0.0589
Ac 0.9411 0.2468 0.4322
Bi 0.0000 0.0000 0.0000
Bi 0.5000 0.5000 0.5000
O 0.0338 0.6881 0.9025
O 0.0975 0.9662 0.3119
O 0.1889 0.4358 0.5913
O 0.3119 0.0975 0.9662
O 0.4087 0.8111 0.5642
O 0.4358 0.5913 0.1889
O 0.5642 0.4087 0.8111
O 0.5913 0.1889 0.4358
O 0.6881 0.9025 0.0338
O 0.8111 0.5642 0.4087
O 0.9025 0.0338 0.6881
O 0.9662 0.3119 0.0975